Arrangement one

This record from Alexandria via LeMat-Bulk describes crystalline Co3SiBr at its relaxed geometry. The functional is PBE-GGA.

Lattice parameters (Å, degrees): 4.3329 4.3329 4.3329 90.00 90.00 90.00
Each line ends with the local moment (μB).
Sites, in units of the cell vectors:
Si 0.5000 0.5000 0.5000  -0.04
Co 0.0000 0.5000 0.0000  0.89
Co 0.0000 0.0000 0.5000  0.54
Co 0.5000 0.0000 0.0000  0.84
Br 0.0000 0.0000 0.0000  -0.01

Output
space group: Pm-3m, No. 221
V: 81 Å³ per cell

Arrangement two

This record from Alexandria via LeMat-Bulk describes crystalline Co3SiBr at its relaxed geometry. The functional is PBE-GGA.

Lattice parameters (Å, degrees): 4.3440 4.3440 4.3440 90.00 90.00 90.00
Each line ends with the local moment (μB).
Sites, in units of the cell vectors:
Si 0.0000 0.0000 0.0000  -0.08
Co 0.0000 0.5000 0.0000  1.15
Co 0.0000 0.0000 0.5000  1.02
Co 0.5000 0.0000 0.0000  1.14
Br 0.5000 0.5000 0.5000  0.10

Output
space group: Pm-3m, No. 221
V: 82 Å³ per cell

The most stable of them is arrangement two.